The following is a PBE with a Hubbard U calculation of crystalline KNiN2O at its relaxed geometry, from Alexandria via LeMat-Bulk.

```
5
Lattice="3.9487 0.0000 0.0000 0.0000 3.9487 0.0000 0.0000 0.0000 4.1676" Properties=species:S:1:pos:R:3 pbc="T T T"
Ni 0.0000 0.0000 0.0000
N 1.9744 0.0000 0.0000
N 0.0000 1.9744 0.0000
K 1.9744 1.9744 2.0838
O 0.0000 0.0000 2.0838
```

Computed properties:
The crystal system is tetragonal. As for the density of states at the Fermi level: 4.5 states/eV/cell. The calculation puts the energy at -3.8851 eV/atom. The value obtained for the total magnetization is 0.09 μB/cell. The space group is P4/mmm (123).